No. 1
A relaxed Sm8Te3C3S crystal. Source: Alexandria, functional GGA-PBE.

Cell: 8.387 8.387 8.387 Å, 56.27 56.27 56.27°
Sites, in units of the cell vectors:
Sm (0.209, 0.747, 0.747)
Sm (0.231, 0.231, 0.231)
Sm (0.253, 0.253, 0.791)
Sm (0.253, 0.791, 0.253)
Sm (0.747, 0.209, 0.747)
Sm (0.747, 0.747, 0.209)
Sm (0.769, 0.769, 0.769)
Sm (0.791, 0.253, 0.253)
Te (0.000, 0.500, 0.500)
Te (0.500, 0.000, 0.500)
Te (0.500, 0.500, 0.000)
C (0.000, 0.000, 0.500)
C (0.000, 0.500, 0.000)
C (0.500, 0.000, 0.000)
S (0.500, 0.500, 0.500)

No. 2
A relaxed Sm6Te3C2S crystal. Source: Alexandria, functional GGA-PBE.

Cell: 9.419 9.419 8.542 Å, 106.65 106.65 24.53°
Sites, in units of the cell vectors:
Sm (0.025, 0.025, 0.246)
Sm (0.320, 0.320, 0.448)
Sm (0.332, 0.332, 0.869)
Sm (0.668, 0.668, 0.131)
Sm (0.680, 0.680, 0.552)
Sm (0.975, 0.975, 0.754)
Te (0.160, 0.160, 0.832)
Te (0.500, 0.500, 0.500)
Te (0.840, 0.840, 0.168)
C (0.168, 0.168, 0.332)
C (0.832, 0.832, 0.668)
S (0.500, 0.500, 0.000)

Across the entries above, formation energy from raw total energies takes the values -0.918; -1.143 eV per atom, respectively.